# 1
{"formula": "TbDyCu2N4", "functional": "PBE", "state": "relaxed", "cell": [[-3.1916, -0.6533, -0.8826], [0.9951, -0.5742, -3.1736], [1.1404, -8.0135, 1.8075]], "species": ["Cu", "Cu", "Dy", "N", "N", "N", "N", "Tb"], "frac_coords": [[0.5000, 0.0000, 0.5007], [0.0000, 0.5000, 0.5007], [0.0000, 0.0000, 0.8029], [0.0000, 0.0000, 0.3406], [0.5000, 0.5000, 0.6598], [0.5000, 0.0000, 0.9988], [0.0000, 0.5000, 0.9988], [0.5000, 0.5000, 0.1976]]}

# 2
{"formula": "GdHo2In3Pd3", "functional": "PBE", "state": "relaxed", "cell": [[3.8510, 0.0000, 0.0000], [0.0000, 6.6749, 3.8389], [0.0000, -6.6749, 3.8389]], "species": ["Gd", "Ho", "Ho", "In", "In", "In", "Pd", "Pd", "Pd"], "frac_coords": [[0.0000, 0.4085, 0.4085], [0.0000, 0.9996, 0.5916], [0.0000, 0.5916, 0.9996], [0.5000, 0.9990, 0.2586], [0.5000, 0.7422, 0.7422], [0.5000, 0.2586, 0.9990], [0.5000, 0.6685, 0.3327], [0.5000, 0.3327, 0.6685], [0.0000, 0.9993, 0.9993]]}

# 3
{"formula": "NdTmGe2", "functional": "PBE", "state": "relaxed", "cell": [[3.2767, 0.0000, 0.0000], [0.0000, 2.9543, 5.7619], [0.0000, -2.9543, 5.7619]], "species": ["Ge", "Ge", "Nd", "Tm"], "frac_coords": [[0.0000, 0.3914, 0.3914], [0.0000, 0.6039, 0.6039], [0.0000, 0.8534, 0.8534], [0.0000, 0.1513, 0.1513]]}

# 4
{"formula": "CdBiSe2Br", "functional": "PBE", "state": "relaxed", "cell": [[-5.4373, 5.4720, -6.5236], [2.1200, -1.6772, -3.1739], [-8.9708, -9.8513, -0.7862]], "species": ["Bi", "Bi", "Bi", "Bi", "Br", "Br", "Br", "Br", "Cd", "Cd", "Cd", "Cd", "Se", "Se", "Se", "Se", "Se", "Se", "Se", "Se"], "frac_coords": [[0.6902, 0.2500, 0.0276], [0.1902, 0.2500, 0.4724], [0.8098, 0.7500, 0.5276], [0.3098, 0.7500, 0.9724], [0.0757, 0.2500, 0.1045], [0.5757, 0.2500, 0.3955], [0.4243, 0.7500, 0.6045], [0.9243, 0.7500, 0.8955], [0.0060, 0.7500, 0.2360], [0.5060, 0.7500, 0.2640], [0.4940, 0.2500, 0.7360], [0.9940, 0.2500, 0.7640], [0.4436, 0.2500, 0.1139], [0.7482, 0.7500, 0.1683], [0.2482, 0.7500, 0.3317], [0.9436, 0.2500, 0.3861], [0.0564, 0.7500, 0.6139], [0.7518, 0.2500, 0.6683], [0.2518, 0.2500, 0.8317], [0.5564, 0.7500, 0.8861]]}

DFT total energy
In order: -6.311; -4.991; -4.567; -3.274
Unit: eV/atom